[1]
Material: NdHo2Al6
Method: DFT, PBE
State: optimized geometry

a = 7.9382 Å, b = 7.9382 Å, c = 7.9382 Å
α = 147.77°, β = 125.98°, γ = 64.32°
Element x y z (fractional)
Nd: 0.0000 0.0000 0.0000
Ho: 0.3760 0.8760 0.5000
Ho: 0.6240 0.1240 0.5000
Al: 0.0096 0.3141 0.6955
Al: 0.3171 0.5000 0.8171
Al: 0.3814 0.6859 0.6955
Al: 0.6186 0.3141 0.3045
Al: 0.6829 0.5000 0.1829
Al: 0.9904 0.6859 0.3045

Properties
Crystal system = orthorhombic
Excess energy over the best structure of this formula in the dataset = 214 meV/atom
DFT formation energy = -0.262 eV/atom
Calculated volume = 213.6 Å³ per cell
Spin magnetization = 0.000 Bohr magnetons per cell



[2]
Material: CdOsCl
Method: DFT, PBE
State: optimized geometry

a = 2.8604 Å, b = 5.2840 Å, c = 15.5692 Å
α = 90.00°, β = 90.00°, γ = 90.00°
Element x y z (fractional)
Cd: 0.0000 0.0000 0.0000
Cd: 0.0000 0.5000 0.5000
Cd: 0.5000 0.0000 0.5000
Cd: 0.5000 0.5000 0.0000
Os: 0.0000 0.0000 0.3408
Os: 0.0000 0.5000 0.8408
Os: 0.5000 0.0000 0.8408
Os: 0.5000 0.5000 0.3408
Cl: 0.0000 0.0000 0.7209
Cl: 0.0000 0.5000 0.2209
Cl: 0.5000 0.0000 0.2209
Cl: 0.5000 0.5000 0.7209

Properties
Crystal system = orthorhombic
Excess energy over the best structure of this formula in the dataset = 0 meV/atom
Calculated volume = 235.3 Å³ per cell
Spin magnetization = 0.000 Bohr magnetons per cell



[3]
Material: Nd3AlHg2Rh3
Method: DFT, PBE
State: optimized geometry

a = 7.8514 Å, b = 7.8514 Å, c = 3.6959 Å
α = 90.00°, β = 90.00°, γ = 120.00°
Element x y z (fractional)
Nd: 0.0000 0.6239 0.0000
Nd: 0.3761 0.3761 0.0000
Nd: 0.6239 0.0000 0.0000
Al: 0.0000 0.0000 0.0000
Hg: 0.3333 0.6667 0.5000
Hg: 0.6667 0.3333 0.5000
Rh: 0.0000 0.2253 0.5000
Rh: 0.2253 0.0000 0.5000
Rh: 0.7747 0.7747 0.5000

Properties
Crystal system = hexagonal
DFT formation energy = -0.565 eV/atom
Calculated volume = 197.3 Å³ per cell
Spin magnetization = 0.000 Bohr magnetons per cell



[4]
Material: Co2PPd
Method: DFT, PBE
State: optimized geometry

a = 3.5684 Å, b = 3.5684 Å, c = 17.0292 Å
α = 90.00°, β = 90.00°, γ = 90.00°
Element x y z (fractional)
Co: 0.1927 0.2500 0.1250
Co: 0.2500 0.6927 0.3750
Co: 0.2500 0.8073 0.8750
Co: 0.3073 0.2500 0.6250
Co: 0.6927 0.7500 0.6250
Co: 0.7500 0.1927 0.8750
Co: 0.7500 0.3073 0.3750
Co: 0.8073 0.7500 0.1250
P: 0.0000 0.0000 0.0000
P: 0.0000 0.5000 0.2500
P: 0.5000 0.0000 0.7500
P: 0.5000 0.5000 0.5000
Pd: 0.0000 0.0000 0.5000
Pd: 0.0000 0.5000 0.7500
Pd: 0.5000 0.0000 0.2500
Pd: 0.5000 0.5000 0.0000

Properties
Crystal system = tetragonal
DFT formation energy = 0.199 eV/atom
Calculated volume = 216.8 Å³ per cell
Spin magnetization = 12.423 Bohr magnetons per cell



[5]
Material: Tm3TlSe2
Method: DFT, PBE
State: optimized geometry

a = 3.9815 Å, b = 5.8876 Å, c = 12.8292 Å
α = 90.00°, β = 90.00°, γ = 90.00°
Element x y z (fractional)
Tm: 0.0000 0.0000 0.0000
Tm: 0.0000 0.0000 0.3235
Tm: 0.0000 0.0000 0.6765
Tm: 0.5000 0.5000 0.1765
Tm: 0.5000 0.5000 0.5000
Tm: 0.5000 0.5000 0.8235
Tl: 0.0000 0.5000 0.0000
Tl: 0.5000 0.0000 0.5000
Se: 0.0000 0.5000 0.3346
Se: 0.0000 0.5000 0.6654
Se: 0.5000 0.0000 0.1654
Se: 0.5000 0.0000 0.8346

Properties
Crystal system = orthorhombic
Calculated volume = 300.7 Å³ per cell
Raw total energy = -60.1 eV for the cell shown
Spin magnetization = 0.000 Bohr magnetons per cell



[6]
Material: LaYAs4
Method: DFT, PBE
State: optimized geometry

a = 5.7626 Å, b = 5.7626 Å, c = 5.7626 Å
α = 60.00°, β = 60.00°, γ = 60.00°
Element x y z (fractional)
La: 0.0000 0.0000 0.0000
Y: 0.7500 0.7500 0.7500
As: 0.3760 0.3760 0.3760
As: 0.3760 0.3760 0.8719
As: 0.3760 0.8719 0.3760
As: 0.8719 0.3760 0.3760

Properties
Crystal system = cubic
DFT formation energy = -0.438 eV/atom
Calculated volume = 135.3 Å³ per cell
Spin magnetization = 0.000 Bohr magnetons per cell



[7]
Material: CaLa2Al2
Method: DFT, PBE
State: optimized geometry

a = 4.7614 Å, b = 4.7614 Å, c = 13.8241 Å
α = 90.00°, β = 90.00°, γ = 90.00°
Element x y z (fractional)
Ca: 0.0000 0.0000 0.0000
Ca: 0.5000 0.5000 0.5000
La: 0.0000 0.5000 0.2500
La: 0.0000 0.5000 0.7500
La: 0.5000 0.0000 0.2500
La: 0.5000 0.0000 0.7500
Al: 0.0000 0.0000 0.4078
Al: 0.0000 0.0000 0.5922
Al: 0.5000 0.5000 0.0922
Al: 0.5000 0.5000 0.9078

Properties
Crystal system = tetragonal
Excess energy over the best structure of this formula in the dataset = 202 meV/atom
DFT formation energy = -0.068 eV/atom
Calculated volume = 313.4 Å³ per cell
Spin magnetization = 0.000 Bohr magnetons per cell



[8]
Material: CaCdPd
Method: DFT, PBE
State: optimized geometry

a = 5.0681 Å, b = 5.1459 Å, c = 10.2246 Å
α = 90.00°, β = 90.00°, γ = 90.00°
Element x y z (fractional)
Ca: 0.2500 0.2359 0.0000
Ca: 0.2500 0.7359 0.5000
Ca: 0.7500 0.2641 0.5000
Ca: 0.7500 0.7641 0.0000
Cd: 0.2500 0.2170 0.6993
Cd: 0.2500 0.7170 0.1993
Cd: 0.7500 0.2830 0.1993
Cd: 0.7500 0.7830 0.6993
Pd: 0.2500 0.2104 0.3282
Pd: 0.2500 0.7104 0.8282
Pd: 0.7500 0.2896 0.8282
Pd: 0.7500 0.7896 0.3282

Properties
Crystal system = orthorhombic
DFT formation energy = -0.479 eV/atom
Calculated volume = 266.7 Å³ per cell
Spin magnetization = 0.000 Bohr magnetons per cell